[1]
VASP calculation (PBE-GGA) on crystalline ReTeWI at its relaxed geometry.

Summary:
Energy relative to the elements, uncorrected, kJ/mol of formula units: 138

Geometry as extended XYZ:
```
4
Lattice="-0.483 -2.595 2.150 -0.160 -3.114 -2.097 8.760 -2.069 -0.172" Properties=species:S:1:pos:R:3 pbc="T T T"
I 6.356 -6.024 0.581
Re 3.074 -3.572 1.078
Te 1.478 -4.395 -1.124
W 4.368 -4.634 -0.815
```

[2]
VASP calculation (PBE-GGA) on crystalline Al2ReW at its relaxed geometry.

Summary:
Energy relative to the elements, eV/atom: 0.062

Geometry as extended XYZ:
```
4
Lattice="-0.808 -0.562 -4.821 3.909 -1.761 -2.414 -2.420 -1.372 4.059" Properties=species:S:1:pos:R:3 pbc="T T T"
Re 1.520 -2.147 -0.987
Al 0.000 0.000 0.000
Al 1.551 -1.161 -3.618
W -0.838 -1.548 -2.190
```

[3]
VASP calculation (PBE-GGA) on crystalline Na3SmDy2S6 at its relaxed geometry.

Summary:
Energy relative to the elements, uncorrected, kJ/mol of formula units: -2127

Geometry as extended XYZ:
```
12
Lattice="-1.904 5.538 -3.754 -4.601 -5.042 1.340 0.332 2.998 6.402" Properties=species:S:1:pos:R:3 pbc="T T T"
Na -3.987 -1.783 3.693
Na -2.187 5.276 0.294
Na -3.087 1.747 1.993
Sm 0.000 0.000 0.000
Dy -3.702 -1.516 -0.358
Dy -2.803 2.012 -2.057
S -4.196 4.480 2.259
S -4.721 1.050 -0.318
S -1.977 -0.987 1.728
S -5.110 0.897 3.984
S -1.452 2.443 4.305
S -1.064 2.596 0.003
```

[4]
VASP calculation (PBE-GGA) on crystalline CsCdPb4 at its relaxed geometry.

Summary:
Energy relative to the elements, eV/atom: 0.082

Geometry as extended XYZ:
```
6
Lattice="6.736 0.000 0.000 3.368 5.834 0.000 3.368 1.945 5.500" Properties=species:S:1:pos:R:3 pbc="T T T"
Pb 6.736 3.889 0.700
Pb 6.736 1.957 3.433
Pb 8.410 4.855 3.433
Pb 5.063 4.855 3.433
Cs 0.000 0.000 0.000
Cd 3.368 1.945 1.375
```

[5]
VASP calculation (PBE-GGA) on crystalline CaYInI6 at its relaxed geometry.

Summary:
Energy relative to the elements, uncorrected, kJ/mol of formula units: -1095

Geometry as extended XYZ:
```
18
Lattice="-3.019 5.019 5.372 -0.879 -7.841 0.953 13.086 -0.515 7.834" Properties=species:S:1:pos:R:3 pbc="T T T"
Ca 1.679 -3.683 4.385
Ca 7.509 0.346 9.775
Y 0.966 0.604 5.858
Y 8.222 -3.940 8.302
In 0.000 0.000 0.000
In 6.543 -0.257 3.917
I -0.746 -1.807 5.105
I -1.553 2.101 6.709
I 6.345 -6.299 7.828
I 10.741 -5.437 7.450
I 3.371 -1.148 5.180
I 1.246 -0.182 8.793
I 8.553 -5.034 11.131
I 2.843 2.962 6.331
I 7.942 -3.154 5.367
I 0.635 1.697 3.028
I 5.817 -2.188 8.979
I 9.934 -1.529 9.055
```

[6]
VASP calculation (PBE-GGA) on crystalline ScFe2Mo at its relaxed geometry.

Summary:
Energy relative to the elements, eV/atom: 0.168

Geometry as extended XYZ:
```
4
Lattice="4.088 0.000 0.000 0.000 2.723 0.004 0.000 1.238 5.309" Properties=species:S:1:pos:R:3 pbc="T T T"
Fe 0.000 0.080 0.128
Fe 0.000 1.901 2.528
Mo 2.044 0.990 1.328
Sc 2.044 2.970 3.985
```

[7]
VASP calculation (PBE-GGA) on crystalline Sr3In5Se12 at its relaxed geometry.

Summary:
Energy relative to the elements, uncorrected, kJ/mol of formula units: -1585

Geometry as extended XYZ:
```
80
Lattice="14.659 0.000 0.000 -4.886 13.821 0.000 -4.886 -6.911 11.969" Properties=species:S:1:pos:R:3 pbc="T T T"
Sr 8.551 4.319 1.496
Sr 8.551 9.502 1.496
Sr -1.222 6.047 7.481
Sr 1.222 -0.864 4.489
Sr 10.995 0.000 2.992
Sr 1.222 6.911 2.992
Sr 3.665 0.000 8.977
Sr -6.108 6.911 8.977
Sr 3.665 7.774 7.481
Sr 6.108 0.864 4.489
Sr -3.665 -2.591 10.473
Sr -3.665 2.591 10.473
In -1.222 3.455 2.992
In -2.443 6.911 0.000
In 0.000 0.000 0.000
In 3.665 2.591 1.496
In 4.886 -3.455 5.985
In 4.886 6.911 0.000
In -3.665 7.774 4.489
In 6.108 -4.319 10.473
In 6.108 6.047 4.489
In 1.222 -3.455 8.977
In 3.665 10.366 2.992
In 2.443 3.455 5.985
In 7.330 0.000 0.000
In -2.443 -3.455 5.985
In -1.222 0.864 7.481
In -1.222 11.230 1.496
In -4.886 3.455 5.985
In 8.551 -0.864 7.481
In 1.222 4.319 10.473
In 6.108 3.455 8.977
Se 9.649 1.456 0.447
Se 0.124 4.570 4.948
Se 10.867 3.207 3.447
Se 6.235 2.073 1.484
Se 1.844 5.179 8.075
Se 10.392 6.901 2.091
Se -1.094 8.044 4.931
Se -3.792 11.748 1.484
Se 0.599 8.642 8.075
Se 6.711 6.920 2.091
Se 7.453 3.796 4.500
Se 7.453 12.365 0.447
Se -4.287 6.127 6.432
Se 3.062 5.105 1.054
Se -5.010 10.025 4.500
Se 2.567 -2.340 7.022
Se -0.599 0.949 2.538
Se 3.062 8.726 1.037
Se 6.235 10.614 3.447
Se -0.619 5.095 1.037
Se -3.042 7.859 9.432
Se 3.538 5.777 4.931
Se 6.730 7.694 6.432
Se 5.505 -1.806 10.916
Se 1.349 1.133 7.038
Se -1.844 -0.783 5.538
Se -0.619 8.716 1.054
Se -1.349 -3.704 8.522
Se 7.929 -0.949 2.538
Se 5.505 1.815 10.932
Se 1.824 -1.815 10.932
Se 2.320 9.251 4.948
Se 5.486 5.962 9.432
Se 9.897 -3.115 7.469
Se 9.174 0.783 5.538
Se -2.567 -5.455 11.522
Se 1.824 1.806 10.916
Se 4.287 -1.732 3.894
Se -1.824 -0.009 9.879
Se -2.567 3.115 7.469
Se 8.679 -4.837 10.485
Se 5.981 -1.133 7.038
Se -1.349 4.837 10.485
Se -5.505 0.009 9.879
Se 3.042 1.732 3.894
Se -5.981 3.704 8.522
Se 4.763 2.340 7.022
Se -4.763 5.455 11.522
```

[8]
VASP calculation (PBE-GGA) on crystalline AcTiSe3 at its relaxed geometry.

Summary:
Energy relative to the elements, uncorrected, kJ/mol of formula units: -730

Geometry as extended XYZ:
```
10
Lattice="4.977 0.000 0.000 0.000 5.020 0.000 0.000 -2.510 10.366" Properties=species:S:1:pos:R:3 pbc="T T T"
Ac 1.244 2.892 7.039
Ac 3.733 0.382 3.327
Ti 1.244 2.891 1.210
Ti 3.733 0.381 9.156
Se 3.733 -2.129 9.029
Se 3.733 2.891 1.397
Se 3.733 0.379 6.387
Se 1.244 0.381 8.970
Se 1.244 0.381 1.338
Se 1.244 2.889 3.980
```